Density functional theory data (PBE) for an optimized crystal structure of YScSi4.

Computed properties:
**M_tot**: 0.000 μB per cell
**Energy above the most stable polymorph in this dataset**: 0.0000 eV/atom
**DFT total energy**: -37.00 eV/f.u.
**ΔE_f (raw)**: -0.419 eV/atom
**Calculated density**: 3.61 Mg/m³

Cell lengths 8.162, 14.360, 3.862 Å; angles 90.00, 90.00, 90.00 degrees
Space group Pbam (No. 55)
Inequivalent atoms, fractional coordinates:
Y 0.112 0.136 0.000
Sc 0.142 0.413 0.000
Si 0.026 0.295 0.500
Si 0.119 0.558 0.500
Si 0.130 0.966 0.500
Si 0.190 0.806 0.500